La2MoRu: relaxed, GGA-PBE.

Summary:
As for the energy above the lowest structure with this stoichiometry: 128.4 meV per atom. Its volume is 101.94 Å³/cell. The calculation puts the formation energy at 0.76 eV/f.u. The value obtained for the density of states at the Fermi level is 4.819 states/eV/cell. Its symmetry is Imm2, No. 44.

Cell: 6.4386 6.4386 6.4386 Å, 147.33 134.52 57.11°
Fractional positions:
La: 0.9789 0.9789 0.0000
La: 0.2661 0.7661 0.5000
Mo: 0.5581 0.5581 0.0000
Ru: 0.6969 0.1969 0.5000

---

RbNdInTe3: relaxed, GGA-PBE.

Summary:
The value obtained for the uncorrected formation energy is -0.9432 eV per atom. Its volume is 519.32 Å³/cell. The value obtained for the density of states at the Fermi level is 4.172 states/eV/cell. Its symmetry is P2_1/m, No. 11.

Cell: 4.6883 9.8813 11.6420 Å, 105.66 90.00 90.00°
Fractional positions:
Rb: 0.2500 0.1971 0.2217
Rb: 0.7500 0.8029 0.7783
Nd: 0.2500 0.6605 0.1261
Nd: 0.7500 0.3395 0.8739
In: 0.2500 0.0672 0.6215
In: 0.7500 0.9328 0.3785
Te: 0.7500 0.8833 0.1196
Te: 0.2500 0.1167 0.8804
Te: 0.2500 0.7689 0.4236
Te: 0.7500 0.2311 0.5764
Te: 0.7500 0.4525 0.1535
Te: 0.2500 0.5475 0.8465

---

ThIrAu: relaxed, GGA-PBE.

Summary:
As for the energy above the lowest structure with this stoichiometry: 268.3 meV per atom. Its volume is 67.27 Å³/cell. The calculation puts the formation energy at -1.52 eV/f.u. The value obtained for the density of states at the Fermi level is 2.007 states/eV/cell. Its symmetry is P3m1, No. 156.

Cell: 3.6407 4.6189 4.6189 Å, 120.00 90.00 90.00°
Fractional positions:
Ir: 0.2064 0.3333 0.6667
Au: 0.1383 0.0000 0.0000
Th: 0.6553 0.6667 0.3333

---

Pm3CuTeBr: relaxed, GGA-PBE.

Summary:
The value obtained for the uncorrected formation energy is -0.8727 eV per atom. Its volume is 339.28 Å³/cell. The value obtained for the density of states at the Fermi level is 8.435 states/eV/cell. Its symmetry is P2_1/m, No. 11.

Cell: 4.0699 8.1136 11.0100 Å, 111.06 90.00 90.00°
Fractional positions:
Pm: 0.7500 0.8557 0.0794
Pm: 0.2500 0.1443 0.9206
Pm: 0.2500 0.7179 0.5257
Pm: 0.7500 0.2821 0.4743
Pm: 0.7500 0.4640 0.2124
Pm: 0.2500 0.5360 0.7876
Cu: 0.2500 0.5660 0.0563
Cu: 0.7500 0.4340 0.9437
Te: 0.2500 0.1662 0.2260
Te: 0.7500 0.8338 0.7740
Br: 0.2500 0.1466 0.6291
Br: 0.7500 0.8534 0.3709

---

YCd3Hg3: relaxed, GGA-PBE.

Summary:
As for the energy above the lowest structure with this stoichiometry: 237.2 meV per atom. Its volume is 211.37 Å³/cell. The calculation puts the formation energy at 0.59 eV/f.u. The value obtained for the density of states at the Fermi level is 5.560 states/eV/cell. Its symmetry is Pm-3m, No. 221.

Cell: 5.9568 5.9568 5.9568 Å, 90.00 90.00 90.00°
Fractional positions:
Y: 0.5000 0.5000 0.5000
Cd: 0.0000 0.5000 0.0000
Cd: 0.0000 0.0000 0.5000
Cd: 0.5000 0.0000 0.0000
Hg: 0.5000 0.0000 0.5000
Hg: 0.5000 0.5000 0.0000
Hg: 0.0000 0.5000 0.5000

---

Mn2PtBr: relaxed, GGA-PBE.

Summary:
The value obtained for the uncorrected formation energy is 0.1371 eV per atom. As for the energy above the lowest structure with this stoichiometry: 241.9 meV per atom. Its volume is 82.91 Å³/cell. The value obtained for the density of states at the Fermi level is 3.099 states/eV/cell. Its symmetry is P4mm, No. 99.

Cell: 3.5190 3.5190 6.6956 Å, 90.00 90.00 90.00°
Fractional positions:
Br: 0.5000 0.5000 0.8261
Mn: 0.0000 0.0000 0.0098
Mn: 0.5000 0.5000 0.2799
Pt: 0.0000 0.0000 0.3841